Entry 1:
A geometry-optimized DyNiAg structure, computed with PBE.

Computed properties:
* excess energy over the best structure of this formula in the dataset: 256 meV per atom
* M_tot: 0.0 μB per formula unit
* DFT formation energy: -133 meV per atom
* E: -4.544 eV per atom
* symmetry: Fmmm, No. 69

a = 4.831 Å, b = 4.963 Å, c = 6.037 Å
α = 78.77°, β = 66.41°, γ = 60.87°
Positions (direct):
Dy1 0.358 0.000 0.284
Ni1 0.250 0.500 0.500
Ag1 0.835 0.330 0.000
Ag2 0.165 0.670 0.000
Dy2 0.642 0.000 0.716
Ni2 0.750 0.500 0.500



Entry 2:
A geometry-optimized SiPBr2 structure, computed with PBE.

Computed properties:
* excess energy over the best structure of this formula in the dataset: 762 meV per atom
* M_tot: 0.0 μB per formula unit
* E: -2.966 eV per atom
* symmetry: R-3m, No. 166
* energy relative to the elements, uncorrected: 0.579 eV per atom

a = 9.444 Å, b = 9.444 Å, c = 9.444 Å
α = 20.97°, β = 20.97°, γ = 20.97°
Positions (direct):
Br1 0.909 0.909 0.909
Si1 0.500 0.500 0.500
Br2 0.091 0.091 0.091
P1 0.000 0.000 0.000



Entry 3:
A geometry-optimized Pt2AuSe structure, computed with PBE.

Computed properties:
* M_tot: 0.0 μB per formula unit
* E: -4.623 eV per atom
* symmetry: C2/m, No. 12
* energy relative to the elements, uncorrected: 0.088 eV per atom

a = 3.744 Å, b = 3.744 Å, c = 6.474 Å
α = 73.37°, β = 73.37°, γ = 59.76°
Positions (direct):
Pt1 0.494 0.494 0.517
Pt2 0.006 0.006 0.983
Au1 0.250 0.250 0.250
Se1 0.750 0.750 0.750



Entry 4:
A geometry-optimized Al2CrAu2 structure, computed with PBE.

Computed properties:
* excess energy over the best structure of this formula in the dataset: 37 meV per atom
* M_tot: 0.0 μB per formula unit
* DFT formation energy: 115 meV per atom
* E: -4.618 eV per atom
* symmetry: P4/mbm, No. 127

a = 7.419 Å, b = 7.419 Å, c = 2.940 Å
α = 90.00°, β = 90.00°, γ = 90.00°
Positions (direct):
Au1 0.635 0.135 0.000
Au2 0.135 0.365 0.000
Al1 0.832 0.332 0.500
Cr1 0.500 0.500 0.000
Cr2 0.000 0.000 0.000
Al2 0.168 0.668 0.500
Al3 0.332 0.168 0.500
Au3 0.365 0.865 0.000
Au4 0.865 0.635 0.000
Al4 0.668 0.832 0.500



Entry 5:
A geometry-optimized ZrOsAu structure, computed with PBE.

Computed properties:
* excess energy over the best structure of this formula in the dataset: 114 meV per atom
* M_tot: 0.0 μB per formula unit
* DFT formation energy: 6 meV per atom
* E: -7.680 eV per atom
* symmetry: P3m1, No. 156

a = 4.721 Å, b = 4.721 Å, c = 2.747 Å
α = 90.00°, β = 90.00°, γ = 120.00°
Positions (direct):
Au1 0.000 0.000 0.011
Os1 0.333 0.667 0.341
Zr1 0.667 0.333 0.648



Entry 6:
A geometry-optimized Th6NiS5 structure, computed with PBE.

Computed properties:
* M_tot: 0.0 μB per formula unit
* E: -7.493 eV per atom
* symmetry: C2/m, No. 12
* energy relative to the elements, uncorrected: -1.581 eV per atom

a = 7.039 Å, b = 7.037 Å, c = 7.038 Å
α = 60.00°, β = 80.37°, γ = 70.44°
Positions (direct):
Th1 0.754 0.083 0.328
Th2 0.246 0.589 0.328
Th3 0.248 0.248 0.000
Th4 0.754 0.411 0.672
S1 0.000 0.667 0.666
Th5 0.246 0.917 0.672
S2 0.000 0.333 0.334
Th6 0.752 0.752 0.000
S3 0.500 0.832 0.336
S4 0.500 0.500 0.000
Ni1 0.000 0.000 0.000
S5 0.500 0.168 0.664